Model w:
Below is crystalline RbAlH at its relaxed geometry, with properties calculated at the PBE level.

Properties
Spin magnetization: 0.000 μB/atom

Cell: 4.5390 5.6994 7.2642 Å, 68.38 87.78 89.45°
With the nearest neighbours (Å) after each atom.
Atoms (fractional coordinates):
Rb  0.9494  0.1815  0.7924  2 H 2.80-2.89
Rb  0.4400  0.4425  0.1973  3 H 2.86-2.90
Al  0.9386  0.8756  0.4032  2 H 1.71-1.80
Al  0.4337  0.7357  0.6046  1 H 1.82
H  0.6632  0.0178  0.5122  2 Al 1.80-1.82
H  0.9395  0.1356  0.1896  1 Al 1.71

---

Model x:
Below is crystalline RbAlH at its relaxed geometry, with properties calculated at the PBE level.

Properties
Spin magnetization: 0.000 μB/atom

Cell: 4.8970 4.8970 21.7797 Å, 90.00 90.00 120.00°
With the nearest neighbours (Å) after each atom.
Atoms (fractional coordinates):
Rb  0.0000  0.0000  0.6004  4 H 2.84-3.11
Rb  0.0000  0.0000  0.3996  4 H 2.84-3.11
Rb  0.3333  0.6667  0.2671  4 H 2.84-3.11
Rb  0.3333  0.6667  0.0662  4 H 2.84-3.11
Rb  0.6667  0.3333  0.9338  4 H 2.84-3.11
Rb  0.6667  0.3333  0.7329  4 H 2.84-3.11
Al  0.0000  0.0000  0.1766  1 H 1.75
Al  0.0000  0.0000  0.8234  1 H 1.75
Al  0.3333  0.6667  0.8433  1 H 1.75
Al  0.3333  0.6667  0.4900  1 H 1.75
Al  0.6667  0.3333  0.5100  1 H 1.75
Al  0.6667  0.3333  0.1567  1 H 1.75
H  0.0000  0.0000  0.7431  1 Al 1.75
H  0.0000  0.0000  0.2569  1 Al 1.75
H  0.3333  0.6667  0.4097  1 Al 1.75
H  0.3333  0.6667  0.9236  1 Al 1.75
H  0.6667  0.3333  0.0764  1 Al 1.75
H  0.6667  0.3333  0.5903  1 Al 1.75

---

Stability, lowest: model w

---

Model w:
Below is crystalline RbAlH at its relaxed geometry, with properties calculated at the PBE level.

Properties
Spin magnetization: 0.000 μB/atom

Cell: 4.7156 11.0292 8.3818 Å, 90.00 123.90 90.00°
With the nearest neighbours (Å) after each atom.
Atoms (fractional coordinates):
Rb  0.2593  0.1747  0.3329  3 H 2.79-3.11
Rb  0.2593  0.8253  0.3329  3 H 2.79-3.11
Rb  0.2593  0.6747  0.8329  3 H 2.79-3.11
Rb  0.2593  0.3253  0.8329  3 H 2.79-3.11
Al  0.4284  0.0000  0.9981  1 H 1.70
Al  0.4284  0.5000  0.4981  1 H 1.70
Al  0.7923  0.0000  0.8609  1 H 1.66
Al  0.7923  0.5000  0.3609  1 H 1.66
H  0.5559  0.0000  0.6218  1 Al 1.66
H  0.5559  0.5000  0.1218  1 Al 1.66
H  0.6706  0.0000  0.2423  1 Al 1.70
H  0.6706  0.5000  0.7423  1 Al 1.70

---

Model x:
Below is crystalline RbAlH at its relaxed geometry, with properties calculated at the PBE level.

Properties
Spin magnetization: 0.000 μB/atom

Cell: 4.9064 5.8344 12.0775 Å, 90.00 90.43 90.00°
With the nearest neighbours (Å) after each atom.
Atoms (fractional coordinates):
Rb  0.7477  0.7463  0.3562  3 H 2.77-2.93
Rb  0.2523  0.7463  0.6438  3 H 2.77-2.93
Rb  0.7477  0.2463  0.8562  3 H 2.77-2.93
Rb  0.2523  0.2463  0.1438  3 H 2.77-2.93
Al  0.2492  0.2492  0.4602  1 H 1.71
Al  0.7508  0.2492  0.5398  1 H 1.71
Al  0.2492  0.7492  0.9602  1 H 1.71
Al  0.7508  0.7492  0.0398  1 H 1.71
H  0.7511  0.4601  0.0613  1 Al 1.71
H  0.2489  0.4601  0.9387  1 Al 1.71
H  0.7511  0.9601  0.5613  1 Al 1.71
H  0.2489  0.9601  0.4387  1 Al 1.71

---

Model y:
Below is crystalline RbAlH at its relaxed geometry, with properties calculated at the PBE level.

Properties
Spin magnetization: 0.000 μB/atom

Cell: 3.9346 4.7613 10.6830 Å, 88.52 88.65 65.58°
With the nearest neighbours (Å) after each atom.
Atoms (fractional coordinates):
Rb  0.0859  0.6928  0.7238  3 H 2.73-2.76
Rb  0.4114  0.1151  0.1577  3 H 2.84-2.86
Al  0.3973  0.0993  0.4870  1 H 1.68
Al  0.6973  0.5075  0.4222  1 H 1.69
H  0.7084  0.5060  0.2638  1 Al 1.69
H  0.3889  0.0965  0.6448  1 Al 1.68

---

Model z:
Below is crystalline RbAlH at its relaxed geometry, with properties calculated at the PBE level.

Properties
Spin magnetization: 0.000 μB/atom

Cell: 5.9969 4.7735 6.7290 Å, 90.00 115.04 90.00°
With the nearest neighbours (Å) after each atom.
Atoms (fractional coordinates):
Rb  0.8283  0.2500  0.6992  3 H 2.83-2.91
Rb  0.1717  0.7500  0.3008  3 H 2.83-2.91
Al  0.5143  0.2500  0.0749  1 H 1.69
Al  0.4857  0.7500  0.9251  1 H 1.69
H  0.4098  0.2500  0.2713  1 Al 1.69
H  0.5902  0.7500  0.7287  1 Al 1.69

---

Stability, lowest: model x

---

Model w:
Below is crystalline RbAl2H6 at its relaxed geometry, with properties calculated at the PBE level.

Properties
Spin magnetization: 0.000 μB/atom

Cell: 5.4214 5.4214 5.4214 Å, 60.00 60.00 60.00°
With the nearest neighbours (Å) after each atom.
Atoms (fractional coordinates):
Rb  0.0000  0.0000  0.0000  6 H 2.88
Al  0.7500  0.7500  0.7500  12 H 2.88
Al  0.2500  0.2500  0.2500  12 H 2.88
H  0.3761  0.6239  0.6239  4 H 1.34
H  0.6239  0.6239  0.3761  4 H 1.34
H  0.6239  0.3761  0.6239  4 H 1.34
H  0.6239  0.3761  0.3761  4 H 1.34
H  0.3761  0.3761  0.6239  4 H 1.34
H  0.3761  0.6239  0.3761  4 H 1.34

---

Model x:
Below is crystalline RbAl2H6 at its relaxed geometry, with properties calculated at the PBE level.

Properties
Spin magnetization: 0.000 μB/atom

Cell: 5.2957 7.4543 7.4543 Å, 76.02 72.11 72.11°
With the nearest neighbours (Å) after each atom.
Atoms (fractional coordinates):
Rb  0.2500  0.2205  0.7795  10 H 2.94-3.25
Rb  0.7500  0.7795  0.2205  10 H 2.94-3.25
Al  0.3452  0.6957  0.7894  3 H 1.61-1.70
Al  0.1548  0.2106  0.3043  3 H 1.61-1.70
Al  0.6548  0.3043  0.2106  3 H 1.61-1.70
Al  0.8452  0.7894  0.6957  3 H 1.61-1.70
H  0.5052  0.8539  0.6241  1 Al 1.70
H  0.9948  0.3759  0.1461  1 Al 1.70
H  0.4948  0.1461  0.3759  1 Al 1.70
H  0.0052  0.6241  0.8539  1 Al 1.70
H  0.0632  0.7386  0.4982  1 Al 1.61
H  0.4368  0.5018  0.2614  1 Al 1.61
H  0.9368  0.2614  0.5018  1 Al 1.61
H  0.5632  0.4982  0.7386  1 Al 1.61
H  0.3270  0.7746  0.9789  1 Al 1.62
H  0.1730  0.0211  0.2254  1 Al 1.62
H  0.6730  0.2254  0.0211  1 Al 1.62
H  0.8270  0.9789  0.7746  1 Al 1.62

---

Stability, lowest: model w

---

Model w:
Below is crystalline Rb2AlH4 at its relaxed geometry, with properties calculated at the PBE level.

Properties
Spin magnetization: 0.000 μB/atom

Cell: 3.8424 3.8424 9.6490 Å, 101.48 101.48 90.00°
With the nearest neighbours (Å) after each atom.
Atoms (fractional coordinates):
H  0.9099  0.9099  0.8198  1 Al 1.67
H  0.0901  0.0901  0.1802  1 Al 1.67
H  0.0000  0.5000  0.0000  2 Al 1.92
H  0.5000  0.0000  0.0000  2 Al 1.92
Al  0.0000  0.0000  0.0000  2 H 1.67
Rb  0.6345  0.6345  0.2690  8 H 2.84-3.15
Rb  0.3655  0.3655  0.7310  8 H 2.84-3.15

---

Model x:
Below is crystalline Rb2AlH4 at its relaxed geometry, with properties calculated at the PBE level.

Properties
Spin magnetization: 0.136 μB/atom

Cell: 5.8213 5.9343 8.8104 Å, 90.39 90.00 90.00°
With the nearest neighbours (Å) after each atom.
Atoms (fractional coordinates):
Rb  0.2500  0.2679  0.9965  8 H 2.89-3.13
Rb  0.7500  0.7321  0.0035  8 H 2.89-3.13
Rb  0.7500  0.7340  0.4972  8 H 2.90-3.12
Rb  0.2500  0.2660  0.5028  8 H 2.90-3.12
Al  0.2500  0.7471  0.7499  4 H 1.68-1.76
Al  0.7500  0.2529  0.2501  4 H 1.68-1.76
H  0.4770  0.5737  0.7495  1 Al 1.68
H  0.2500  0.7859  0.9476  1 Al 1.76
H  0.7500  0.2141  0.0524  1 Al 1.76
H  0.0230  0.5737  0.7495  1 Al 1.68
H  0.7500  0.2165  0.4475  1 Al 1.75
H  0.9770  0.4263  0.2505  1 Al 1.68
H  0.5230  0.4263  0.2505  1 Al 1.68
H  0.2500  0.7835  0.5525  1 Al 1.75

---

Stability, lowest: model x

---

Model w:
Below is crystalline AlReH2 at its relaxed geometry, with properties calculated at the PBE level.

Properties
Spin magnetization: 0.000 μB/atom

Cell: 3.7137 3.7137 3.7137 Å, 60.00 60.00 60.00°
With the nearest neighbours (Å) after each atom.
Atoms (fractional coordinates):
Re  0.5000  0.5000  0.5000  8 H 2.27
Al  0.0000  0.0000  0.0000  8 H 2.27
H  0.2500  0.2500  0.2500  4 Re 2.27, 4 Al 2.27
H  0.7500  0.7500  0.7500  4 Re 2.27, 4 Al 2.27

---

Model x:
Below is crystalline AlReH2 at its relaxed geometry, with properties calculated at the PBE level.

Properties
Spin magnetization: 0.000 μB/atom

Cell: 4.0476 4.0476 5.2594 Å, 67.37 67.37 90.00°
With the nearest neighbours (Å) after each atom.
Atoms (fractional coordinates):
Re  0.0000  0.0000  0.0000  4 H 1.78
Re  0.7500  0.2500  0.5000  4 H 1.78
Al  0.5000  0.5000  0.0000  4 H 1.84
Al  0.2500  0.7500  0.5000  4 H 1.84
H  0.6393  0.1250  0.2500  2 Re 1.78, 2 Al 1.84
H  0.1107  0.6250  0.2500  2 Re 1.78, 2 Al 1.84
H  0.3750  0.3607  0.7500  2 Re 1.78, 2 Al 1.84
H  0.8750  0.8893  0.7500  2 Re 1.78, 2 Al 1.84

---

Stability, lowest: model w

---

Model w:
Below is crystalline Al2HRh2 at its relaxed geometry, with properties calculated at the PBE level.

Properties
Spin magnetization: 0.000 μB/atom

Cell: 3.7009 3.7009 6.3325 Å, 73.01 73.01 90.00°
With the nearest neighbours (Å) after each atom.
Atoms (fractional coordinates):
H  0.0000  0.0000  0.0000  8 Rh 2.91
Rh  0.3888  0.3888  0.2224  4 Al 2.45, 1 Rh 2.57
Rh  0.6112  0.6112  0.7776  4 Al 2.45, 1 Rh 2.57
Al  0.7500  0.2500  0.5000  4 Rh 2.45, 4 Al 2.62
Al  0.2500  0.7500  0.5000  4 Rh 2.45, 4 Al 2.62

---

Model x:
Below is crystalline Al2HRh2 at its relaxed geometry, with properties calculated at the PBE level.

Properties
Spin magnetization: 0.000 μB/atom

Cell: 5.7145 5.7145 3.9162 Å, 90.00 90.00 90.00°
With the nearest neighbours (Å) after each atom.
Atoms (fractional coordinates):
H  0.0000  0.0000  0.0000  4 Rh 2.12
H  0.5000  0.5000  0.0000  4 Rh 2.12
Rh  0.3315  0.8315  0.0000  2 H 2.12
Rh  0.8315  0.6685  0.0000  2 H 2.12
Rh  0.6685  0.1685  0.0000  2 H 2.12
Rh  0.1685  0.3315  0.0000  2 H 2.12
Al  0.1563  0.6563  0.5000  6 Rh 2.42-2.70, 1 Al 2.53
Al  0.6563  0.8437  0.5000  6 Rh 2.42-2.70, 1 Al 2.53
Al  0.8437  0.3437  0.5000  6 Rh 2.42-2.70, 1 Al 2.53
Al  0.3437  0.1563  0.5000  6 Rh 2.42-2.70, 1 Al 2.53

---

Stability, lowest: model w